{
  "formula": "Sm2AsO",
  "functional": "GGA-PBE",
  "state": "relaxed",
  "e_form_raw_ev_per_fu": -8.0,
  "final_energy_ev_per_atom": -6.765,
  "polymorph_energy_mev_per_atom": 0.0,
  "sg": "No. 166",
  "crystal_system": "trigonal",
  "cell": [[3.887, 0.000, 0.000], [1.943, 3.366, 0.000], [1.943, 1.122, 6.297]],
  "species": ["As", "O", "Sm", "Sm"],
  "frac_coords": [[0.500, 0.500, 0.500], [0.000, 0.000, 0.000], [0.739, 0.739, 0.784], [0.261, 0.261, 0.216]]
}